Density functional theory data (GGA+U) for a relaxed LiUVO6 crystal.

```
LiUVO6
1.0
5.342 0.000 0.000
-2.671 4.627 0.000
0.000 0.000 9.325
Li U V O
2 2 2 12
Cartesian
0.000 0.000 0.000
0.000 0.000 4.663
0.000 3.084 2.331
2.671 1.542 6.994
0.000 3.084 6.994
2.671 1.542 2.331
-0.877 1.746 5.960
-1.598 2.995 8.028
0.877 1.746 8.028
-0.721 4.513 5.960
1.950 0.114 1.297
1.073 1.632 3.366
1.598 2.995 5.960
0.721 4.513 8.028
3.392 0.114 3.366
1.795 2.881 1.297
4.269 1.632 1.297
3.548 2.881 3.366
```

Results
The final energy is -143.6 eV per cell.